1.
Material: LaCeTm
Method: DFT, PBE-GGA
State: relaxed

Cell lengths 6.078, 3.538, 15.385 Å; angles 103.34, 37.94, 90.00 degrees
Element x y z (fractional)
La  0.467  0.094  0.893
La  0.569  0.958  0.257
Ce  0.752  0.778  0.579
Ce  0.284  0.274  0.572
Tm  0.943  0.605  0.905
Tm  0.093  0.446  0.246

Properties
Its formation energy is 0.067 eV/atom. The value obtained for the energy above the lowest structure with this stoichiometry is 0 meV/atom. The magnetization is 0.3 μB per formula unit. The value obtained for the density of states at the Fermi level is 12.34 states/eV per cell. Its theoretical density is 7.890 Mg/m³. Its space group is P-1, No. 2.

---

2.
Material: Na13Tl3
Method: DFT, PBE-GGA
State: relaxed

Cell lengths 7.056, 7.056, 10.357 Å; angles 90.00, 90.00, 91.94 degrees
Element x y z (fractional)
Na  0.989  0.487  0.759
Na  0.501  0.499  0.762
Na  0.513  0.011  0.759
Na  0.218  0.229  0.000
Na  0.771  0.782  0.000
Na  0.241  0.759  0.000
Na  0.989  0.487  0.241
Na  0.501  0.499  0.238
Na  0.513  0.011  0.241
Na  0.766  0.234  0.500
Na  0.247  0.240  0.500
Na  0.760  0.753  0.500
Na  0.243  0.757  0.500
Tl  0.007  0.993  0.743
Tl  0.737  0.263  0.000
Tl  0.007  0.993  0.257

Properties
Its formation energy is -0.048 eV/atom. The value obtained for the energy above the lowest structure with this stoichiometry is 0 meV/atom. The magnetization is 0.0 μB per formula unit. The value obtained for the density of states at the Fermi level is 6.28 states/eV per cell. Its theoretical density is 2.938 Mg/m³. Its space group is Amm2, No. 38.

---

- What is the magnetization in the first record?
  0.3 μB per formula unit

---

Repeat the second record exactly.
Material: Na13Tl3
Method: DFT, PBE-GGA
State: relaxed

Cell lengths 7.056, 7.056, 10.357 Å; angles 90.00, 90.00, 91.94 degrees
Element x y z (fractional)
Na  0.989  0.487  0.759
Na  0.501  0.499  0.762
Na  0.513  0.011  0.759
Na  0.218  0.229  0.000
Na  0.771  0.782  0.000
Na  0.241  0.759  0.000
Na  0.989  0.487  0.241
Na  0.501  0.499  0.238
Na  0.513  0.011  0.241
Na  0.766  0.234  0.500
Na  0.247  0.240  0.500
Na  0.760  0.753  0.500
Na  0.243  0.757  0.500
Tl  0.007  0.993  0.743
Tl  0.737  0.263  0.000
Tl  0.007  0.993  0.257

Properties
Its formation energy is -0.048 eV/atom. The value obtained for the energy above the lowest structure with this stoichiometry is 0 meV/atom. The magnetization is 0.0 μB per formula unit. The value obtained for the density of states at the Fermi level is 6.28 states/eV per cell. Its theoretical density is 2.938 Mg/m³. Its space group is Amm2, No. 38.

---

- magnetization of number 2 (Na13Tl3)?
  0.0 μB per formula unit